# VRuI2O, optimized geometry, DFT PBE with a Hubbard U
data_VRuI2O
_chemical_formula_sum 'V1 Ru1 I2 O1'
_space_group_name_H-M_alt 'P 1'
_space_group_IT_number 1
_space_group_name_Hall 'P 1'
_cell_length_a 5.4469
_cell_length_b 5.4469
_cell_length_c 3.5954
_cell_angle_alpha 90.00
_cell_angle_beta 90.00
_cell_angle_gamma 90.00
loop_
_atom_site_label
_atom_site_fract_x
_atom_site_fract_y
_atom_site_fract_z
_atom_site_occupancy
I1 0.0000 0.5000 0.0000 1
I2 0.5000 0.0000 0.0000 1
Ru1 0.5000 0.5000 0.5000 1
V1 0.0000 0.0000 0.0000 1
O1 0.0000 0.0000 0.5000 1
# **Calculated volume**: 107 Å³/cell
# **Uncorrected energy**: -23.2 eV/cell
# **N(E_F)**: 5.9 states/eV per cell